Below is an optimized crystal structure of Tm2GaTcC, with properties calculated at the PBE level.

Cell: 3.9804 4.8139 4.8139 Å, 90.00 90.00 90.00°
Atoms (fractional coordinates):
1 Tm 0.0000 0.0000 0.5000
2 Tm 0.0000 0.5000 0.0000
3 Tc 0.5000 0.0000 0.0000
4 C 0.0000 0.0000 0.0000
5 Ga 0.5000 0.5000 0.5000

Output
The space group is P4/mmm, No. 123. Its crystal system is tetragonal. For the density of states at the Fermi level, the calculation gives 1.98 states/eV per cell. The calculation puts the formation energy at -0.44 eV per atom.



Below is an optimized crystal structure of Y5Pt, with properties calculated at the PBE level.

Cell: 6.0670 6.0670 5.1553 Å, 90.00 90.00 120.00°
Atoms (fractional coordinates):
1 Y 0.3333 0.6667 0.5000
2 Y 0.7010 0.0000 0.0000
3 Y 0.2990 0.2990 0.0000
4 Y 0.0000 0.7010 0.0000
5 Y 0.6667 0.3333 0.5000
6 Pt 0.0000 0.0000 0.5000

Output
The space group is P-62m, No. 189. The value obtained for the energy above the most stable polymorph in this dataset is 196.3 meV/atom. Its crystal system is hexagonal. For the density of states at the Fermi level, the calculation gives 5.63 states/eV per cell. The calculation puts the formation energy at -0.20 eV per atom.



Below is an optimized crystal structure of ZnCoSiRh, with properties calculated at the PBE level.

Cell: 4.1077 4.1077 4.1077 Å, 60.00 60.00 60.00°
Atoms (fractional coordinates):
1 Rh 0.5000 0.5000 0.5000
2 Zn 0.2500 0.2500 0.2500
3 Co 0.0000 0.0000 0.0000
4 Si 0.7500 0.7500 0.7500

Output
The space group is F-43m, No. 216. Its formation energy from raw total energies is -446 meV per atom. Its crystal system is cubic. For the density of states at the Fermi level, the calculation gives 1.34 states/eV per cell.